Record 1
VASP calculation (PBE-GGA) on an optimized crystal structure of FeCuPPb2.

E_form = 816 meV per atom
VASP energy = -0.157 Ha/atom
density of states at the Fermi level = 4.33 states/eV/f.u.
space group = No. 123

The structure in POSCAR format:
```
FeCuPPb2
1.0
4.986 0.000 0.000
0.000 4.986 0.000
0.000 0.000 4.471
Pb P Fe Cu
2 1 1 1
Direct
0.000 0.500 0.000 Pb
0.500 0.000 0.000 Pb
0.500 0.500 0.500 P
0.000 0.000 0.000 Fe
0.000 0.000 0.500 Cu
```

=====

Record 2
VASP calculation (PBE-GGA) on an optimized crystal structure of H2IBr.

VASP energy = -0.091 Ha/atom
space group = No. 12

The structure in POSCAR format:
```
H2IBr
1.0
3.703 0.000 0.000
-1.851 7.818 0.587
0.000 0.017 8.726
H I Br
4 2 2
Direct
0.701 0.402 0.296 H
0.380 0.760 0.214 H
0.620 0.240 0.786 H
0.299 0.598 0.704 H
0.135 0.271 0.848 I
0.865 0.729 0.152 I
0.613 0.226 0.359 Br
0.387 0.774 0.641 Br
```

=====

Record 3
VASP calculation (PBE-GGA) on an optimized crystal structure of Co3Ni12Rh.

E_form = 22 meV per atom
VASP energy = -0.224 Ha/atom
density of states at the Fermi level = 25.64 states/eV/f.u.
space group = No. 123

The structure in POSCAR format:
```
Co3Ni12Rh
1.0
-1.065 -0.380 3.356
-0.107 -3.513 -0.432
13.512 -0.924 4.182
Co Ni Rh
3 12 1
Direct
0.000 0.000 0.254 Co
0.000 0.000 0.500 Co
0.000 0.000 0.746 Co
0.500 0.500 0.000 Ni
0.500 0.500 0.254 Ni
0.500 0.500 0.500 Ni
0.500 0.500 0.746 Ni
0.500 0.000 0.132 Ni
0.500 0.000 0.377 Ni
0.500 0.000 0.623 Ni
0.500 0.000 0.868 Ni
0.000 0.500 0.132 Ni
0.000 0.500 0.377 Ni
0.000 0.500 0.623 Ni
0.000 0.500 0.868 Ni
0.000 0.000 0.000 Rh
```

=====

Record 4
VASP calculation (PBE-GGA) on an optimized crystal structure of La2NdSm2Dy.

E_form = 236 meV per atom
VASP energy = -0.167 Ha/atom
density of states at the Fermi level = 11.13 states/eV/f.u.
space group = No. 58

The structure in POSCAR format:
```
La2NdSm2Dy
1.0
-3.219 0.858 -0.932
-2.420 -3.166 5.447
1.351 15.489 9.603
La Nd Sm Dy
4 2 4 2
Direct
0.500 0.271 0.315 La
0.000 0.771 0.185 La
0.500 0.729 0.685 La
0.000 0.229 0.815 La
0.500 0.500 0.000 Nd
0.000 0.000 0.500 Nd
0.500 0.775 0.354 Sm
0.500 0.225 0.646 Sm
0.000 0.725 0.854 Sm
0.000 0.275 0.146 Sm
0.000 0.000 0.000 Dy
0.500 0.500 0.500 Dy
```

=====

Record 5
VASP calculation (PBE-GGA) on an optimized crystal structure of CaAgRh.

E_form = -307 meV per atom
VASP energy = -0.161 Ha/atom
density of states at the Fermi level = 2.29 states/eV/f.u.
space group = No. 74

The structure in POSCAR format:
```
CaAgRh
1.0
5.528 0.000 0.000
0.000 5.492 0.000
0.000 0.000 7.870
Ca Rh Ag
4 4 4
Direct
0.000 0.250 0.867 Ca
0.000 0.750 0.133 Ca
0.500 0.750 0.367 Ca
0.500 0.250 0.633 Ca
0.000 0.000 0.500 Rh
0.000 0.500 0.500 Rh
0.500 0.500 0.000 Rh
0.500 0.000 0.000 Rh
0.250 0.250 0.250 Ag
0.250 0.750 0.750 Ag
0.750 0.750 0.750 Ag
0.750 0.250 0.250 Ag
```

=====

Record 6
VASP calculation (PBE-GGA) on an optimized crystal structure of Li4MgPb3.

E_form = -225 meV per atom
VASP energy = -0.102 Ha/atom
density of states at the Fermi level = 2.83 states/eV/f.u.
space group = No. 123

The structure in POSCAR format:
```
Li4MgPb3
1.0
-2.429 2.099 -1.709
-2.648 -1.366 2.085
2.048 9.614 8.900
Pb Mg Li
3 1 4
Direct
0.500 0.500 0.241 Pb
0.500 0.500 0.500 Pb
0.500 0.500 0.759 Pb
0.500 0.500 0.000 Mg
0.000 0.000 0.875 Li
0.000 0.000 0.125 Li
0.000 0.000 0.373 Li
0.000 0.000 0.627 Li
```